Record 1
DFT (PBE-GGA) results for a relaxed structure of MgCu2BRh.

Results
V ... 13.114 Å³/atom
Total energy ... -4.927 eV per atom
Space-group type ... P4/mmm (123)
Calculated formation energy ... -0.16 eV/atom

Lattice parameters (Å, degrees): 4.0047 4.0047 4.0886 90.00 90.00 90.00
Last column: nearest neighbours and their distance in Å.
Positions (direct):
Mg (0.0000, 0.0000, 0.0000)  4 Rh 2.83, 8 Cu 2.86
Cu (0.0000, 0.5000, 0.5000)  2 B 2.00
Cu (0.5000, 0.0000, 0.5000)  2 B 2.00
B (0.5000, 0.5000, 0.5000)  4 Cu 2.00, 2 Rh 2.04
Rh (0.5000, 0.5000, 0.0000)  2 B 2.04


Record 2
DFT (PBE-GGA) results for a relaxed structure of MgCu2BRh.

Results
V ... 13.272 Å³/atom
Total energy ... -4.511 eV per atom
Space-group type ... P4/mmm (123)
Calculated formation energy ... 0.25 eV/atom

Lattice parameters (Å, degrees): 3.8821 3.8821 4.4034 90.00 90.00 90.00
Last column: nearest neighbours and their distance in Å.
Positions (direct):
Mg (0.0000, 0.0000, 0.0000)  2 B 2.20
Cu (0.0000, 0.5000, 0.5000)  2 B 1.94
Cu (0.5000, 0.0000, 0.5000)  2 B 1.94
B (0.0000, 0.0000, 0.5000)  4 Cu 1.94
Rh (0.5000, 0.5000, 0.0000)  4 Mg 2.75, 8 Cu 2.94


Record 3
DFT (PBE-GGA) results for a relaxed structure of Mg2CuB2Rh5.

Results
V ... 12.907 Å³/atom
Total energy ... -6.232 eV per atom
Space-group type ... P4/mbm (127)
Calculated formation energy ... -0.49 eV/atom

Lattice parameters (Å, degrees): 9.4156 9.4156 2.9118 90.00 90.00 90.00
Last column: nearest neighbours and their distance in Å.
Positions (direct):
Mg (0.1765, 0.3235, 0.0000)  3 B 2.61-2.90, 6 Rh 2.76-2.82, 2 Mg 2.91
Mg (0.3235, 0.8235, 0.0000)  3 B 2.61-2.90, 6 Rh 2.76-2.82, 2 Mg 2.91
Mg (0.6765, 0.1765, 0.0000)  3 B 2.61-2.90, 6 Rh 2.76-2.82, 2 Mg 2.91
Mg (0.8235, 0.6765, 0.0000)  3 B 2.61-2.90, 6 Rh 2.76-2.82, 2 Mg 2.91
Cu (0.0000, 0.0000, 0.0000)  8 Rh 2.59
Cu (0.5000, 0.5000, 0.0000)  8 Rh 2.59
B (0.1277, 0.6277, 0.0000)  6 Rh 2.14-2.24
B (0.3723, 0.1277, 0.0000)  6 Rh 2.14-2.24
B (0.6277, 0.8723, 0.0000)  6 Rh 2.14-2.24
B (0.8723, 0.3723, 0.0000)  6 Rh 2.14-2.24
Rh (0.0000, 0.5000, 0.5000)  4 B 2.24
Rh (0.0703, 0.7839, 0.5000)  2 B 2.14
Rh (0.2161, 0.0703, 0.5000)  2 B 2.14
Rh (0.2839, 0.5703, 0.5000)  2 B 2.14
Rh (0.4297, 0.2839, 0.5000)  2 B 2.14
Rh (0.5000, 0.0000, 0.5000)  4 B 2.24
Rh (0.5703, 0.7161, 0.5000)  2 B 2.14
Rh (0.7161, 0.4297, 0.5000)  2 B 2.14
Rh (0.7839, 0.9297, 0.5000)  2 B 2.14
Rh (0.9297, 0.2161, 0.5000)  2 B 2.14


> Which of these has the lowest V?

Mg2CuB2Rh5


> Among the records above, which one has the lowest calculated formation energy?

Mg2CuB2Rh5


> What is the formula in the first record?

MgCu2BRh


> total energy of number 2 (MgCu2BRh)?

-4.511 eV per atom